Material: TmGeHIr2
Method: DFT, PBE
State: optimized geometry

Cell and atoms, written as POSCAR:
```
TmGeHIr2
1.0
-0.1251 -3.7478 -0.3769
1.9123 2.3218 -4.8794
6.8595 -0.4766 2.4616
Ir H Tm Ge
4 2 2 2
Direct
0.1532 0.3063 0.9450 Ir
0.8468 0.6937 0.4450 Ir
0.8468 0.6937 0.0550 Ir
0.1532 0.3063 0.5550 Ir
0.0000 0.0000 0.0000 H
0.0000 0.0000 0.5000 H
0.4545 0.9090 0.7500 Tm
0.5455 0.0910 0.2500 Tm
0.7352 0.4704 0.7500 Ge
0.2648 0.5296 0.2500 Ge
```

Results
Density of states at the Fermi level   0.64 states/eV/atom
Size of the total moment   0.000 μB/f.u.
E_tot   -65.90 eV for the cell shown